(1)
Compound: ScSi2Sb
Source: Alexandria via LeMat-Bulk
Functional: PBE
Structure: relaxed

a = 5.344 Å, b = 5.344 Å, c = 5.344 Å
α = 141.50°, β = 124.61°, γ = 69.48°
Positions (direct):
Sc 0.231 0.731 0.500
Si 0.973 0.973 0.000
Si 0.780 0.280 0.500
Sb 0.515 0.515 0.000

Values from the calculation:
- Calculated total energy: -21.86 eV per cell
- Formation energy (no corrections): -0.14 eV per atom

(2)
Compound: Sc2SiSb
Source: Alexandria via LeMat-Bulk
Functional: PBE
Structure: relaxed

a = 4.929 Å, b = 4.929 Å, c = 4.929 Å
α = 60.00°, β = 60.00°, γ = 60.00°
Positions (direct):
Sc 0.250 0.250 0.250
Si 0.000 0.000 0.000
Sb 0.500 0.500 0.500
Sc 0.750 0.750 0.750

Values from the calculation:
- Calculated total energy: -23.91 eV per cell
- Formation energy (no corrections): -0.42 eV per atom
- Excess energy over the best structure of this formula in the dataset: 6.22 kcal/mol of atoms

(3)
Compound: ScSiSb2
Source: Alexandria via LeMat-Bulk
Functional: PBE
Structure: relaxed

a = 4.959 Å, b = 4.959 Å, c = 3.807 Å
α = 90.00°, β = 90.00°, γ = 103.77°
Positions (direct):
Sb 0.000 0.000 0.000
Si 0.000 0.500 0.500
Sc 0.500 0.000 0.500
Sb 0.500 0.500 0.000

Values from the calculation:
- Calculated total energy: -20.46 eV per cell
- Formation energy (no corrections): -0.12 eV per atom

(4)
Compound: ScSiSb2
Source: Alexandria via LeMat-Bulk
Functional: PBE
Structure: relaxed

a = 5.839 Å, b = 5.839 Å, c = 5.839 Å
α = 143.32°, β = 131.08°, γ = 62.67°
Positions (direct):
Si 0.248 0.748 0.500
Sb 0.754 0.254 0.500
Sb 0.020 0.020 0.000
Sc 0.477 0.477 0.000

Values from the calculation:
- Calculated total energy: -20.58 eV per cell
- Formation energy (no corrections): -0.15 eV per atom